1.
First-principles (PBEsol) data for a relaxed NbTl2Os2 crystal, as listed in the Alexandria database.

Uncorrected energy ... -6.9948 eV per atom
Space group ... I4/mmm, No. 139
E_form ... 1.11 eV/atom

a b c (Å): 7.2579 7.2579 7.2579
angles (deg): 149.59 149.59 43.54
Element x y z (fractional)
Nb1 0.0000 0.0000 0.0000
Tl1 0.2500 0.7500 0.5000
Tl2 0.7500 0.2500 0.5000
Os1 0.4115 0.4115 0.0000
Os2 0.5885 0.5885 0.0000



2.
First-principles (PBEsol) data for a relaxed Sr3LiNi crystal, as listed in the Alexandria database.

Uncorrected energy ... -2.6761 eV per atom
Space group ... Pm-3m, No. 221
E_form ... 0.05 eV/atom

a b c (Å): 5.7446 5.7446 5.7446
angles (deg): 90.00 90.00 90.00
Element x y z (fractional)
Sr1 0.0000 0.0000 0.5000
Sr2 0.0000 0.5000 0.0000
Sr3 0.5000 0.0000 0.0000
Li1 0.5000 0.5000 0.5000
Ni1 0.0000 0.0000 0.0000



3.
First-principles (PBEsol) data for a relaxed La2NiRhO6 crystal, as listed in the Alexandria database.

Uncorrected energy ... -7.8257 eV per atom
Space group ... P2_1/c, No. 14
E_form (uncorrected) ... -2.177 eV/atom

a b c (Å): 5.4766 5.5758 9.4506
angles (deg): 90.00 125.36 90.00
Element x y z (fractional)
La1 0.2394 0.0525 0.2502
La2 0.2394 0.4475 0.7502
La3 0.7606 0.5525 0.2498
La4 0.7606 0.9475 0.7498
Ni1 0.5000 0.0000 0.0000
Ni2 0.5000 0.5000 0.5000
Rh1 0.0000 0.0000 0.5000
Rh2 0.0000 0.5000 0.0000
O1 0.1623 0.2040 0.9562
O2 0.1623 0.2960 0.4562
O3 0.2558 0.7076 0.9564
O4 0.2558 0.7924 0.4564
O5 0.3388 0.0149 0.7549
O6 0.3388 0.4851 0.2549
O7 0.6612 0.5149 0.7451
O8 0.6612 0.9851 0.2451
O9 0.7442 0.2076 0.5436
O10 0.7442 0.2924 0.0436
O11 0.8377 0.7040 0.5438
O12 0.8377 0.7960 0.0438